A relaxed TcPt2 crystal, computed with PBE-GGA.

Summary:
ΔE to the lowest computed polymorph ... 0.335 eV per atom
Calculated total energy ... -7.341 eV/atom
Symmetry ... Imma

Unit cell a=2.698 b=3.892 c=19.070 alpha=90.00 beta=90.00 gamma=90.00
Fractional coordinates of all 12 atoms:
Pt 0.000 0.750 0.811
Pt 0.000 0.250 0.047
Pt 0.500 0.250 0.311
Pt 0.000 0.750 0.953
Tc 0.500 0.250 0.885
Tc 0.000 0.750 0.385
Tc 0.000 0.250 0.615
Pt 0.500 0.750 0.689
Tc 0.500 0.750 0.115
Pt 0.500 0.750 0.547
Pt 0.000 0.250 0.189
Pt 0.500 0.250 0.453

A relaxed Tc2Pt3 crystal, computed with PBE-GGA.

Summary:
ΔE to the lowest computed polymorph ... 0.061 eV per atom
Calculated total energy ... -7.701 eV/atom
Symmetry ... C2/m

Unit cell a=3.771 b=6.996 c=7.402 alpha=62.37 beta=75.24 gamma=74.36
Fractional coordinates of all 10 atoms:
Tc 0.236 0.408 0.120
Pt 0.907 0.703 0.482
Pt 0.436 0.367 0.760
Tc 0.317 0.988 0.377
Pt 0.888 0.145 0.078
Pt 0.093 0.297 0.518
Pt 0.564 0.633 0.240
Pt 0.112 0.855 0.922
Tc 0.764 0.592 0.880
Tc 0.683 0.012 0.623

A relaxed Tc3Pt crystal, computed with PBE-GGA.

Summary:
ΔE to the lowest computed polymorph ... 0.087 eV per atom
Calculated total energy ... -9.461 eV/atom
Symmetry ... P6_3/mmc

Unit cell a=5.531 b=5.531 c=8.867 alpha=90.00 beta=90.00 gamma=60.00
Fractional coordinates of all 16 atoms:
Tc 0.827 0.346 0.750
Tc 0.000 0.500 0.000
Pt 0.000 0.000 0.000
Pt 0.000 0.000 0.500
Tc 0.000 0.500 0.500
Tc 0.346 0.827 0.750
Tc 0.500 0.000 0.000
Tc 0.173 0.173 0.250
Tc 0.173 0.654 0.250
Tc 0.827 0.827 0.750
Pt 0.667 0.667 0.250
Tc 0.500 0.500 0.000
Tc 0.654 0.173 0.250
Tc 0.500 0.500 0.500
Pt 0.333 0.333 0.750
Tc 0.500 0.000 0.500

A relaxed TcPt3 crystal, computed with PBE-GGA.

Summary:
Calculated total energy ... -7.151 eV/atom
Symmetry ... Cmmm

Unit cell a=4.864 b=4.864 c=2.762 alpha=90.00 beta=90.00 gamma=110.31
Fractional coordinates of all 4 atoms:
Pt 0.500 0.000 0.500
Tc 0.500 0.500 0.000
Pt 0.000 0.000 0.000
Pt 0.000 0.500 0.500

Q: calculated total energy of number 3 (Tc3Pt)?
A: -9.461 eV/atom

What did the fourth record say?
A relaxed TcPt3 crystal, computed with PBE-GGA.

Summary:
Calculated total energy ... -7.151 eV/atom
Symmetry ... Cmmm

Unit cell a=4.864 b=4.864 c=2.762 alpha=90.00 beta=90.00 gamma=110.31
Fractional coordinates of all 4 atoms:
Pt 0.500 0.000 0.500
Tc 0.500 0.500 0.000
Pt 0.000 0.000 0.000
Pt 0.000 0.500 0.500

Q: Number 3 is which compound?
A: Tc3Pt

Q: calculated total energy of number 1 (TcPt2)?
A: -7.341 eV/atom